w:
{
  "formula": "Y2ZrSc",
  "functional": "GGA-PBEsol",
  "state": "relaxed",
  "sg": "P4mm",
  "magmom_total_mub_per_fu": 0.0,
  "cell": [[3.324, 0.000, 0.000], [0.000, 3.324, 0.000], [0.000, 0.000, 9.481]],
  "species": ["Y", "Y", "Zr", "Sc"],
  "fractional_positions": [[0.000, 0.000, 0.000], [0.500, 0.500, 0.279], [0.000, 0.000, 0.522], [0.500, 0.500, 0.740]]
}

x:
{
  "formula": "Y2ZrSc",
  "functional": "GGA-PBEsol",
  "state": "relaxed",
  "sg": "Pmm2",
  "magmom_total_mub_per_fu": 0.0,
  "cell": [[3.353, 0.000, 0.000], [0.000, 4.535, 0.000], [0.000, 0.000, 6.888]],
  "species": ["Y", "Y", "Zr", "Sc"],
  "fractional_positions": [[0.000, 0.000, 0.000], [0.500, 0.500, 0.285], [0.000, 0.000, 0.528], [0.500, 0.500, 0.742]]
}

Stability order, top to bottom: w, x

w:
{
  "formula": "YZrSc2",
  "functional": "GGA-PBEsol",
  "state": "relaxed",
  "sg": "C2/m",
  "magmom_total_mub_per_fu": 0.0,
  "cell": [[5.338, -1.620, 0.000], [5.338, 1.620, 0.000], [-0.963, 0.000, 5.656]],
  "species": ["Y", "Zr", "Sc", "Sc"],
  "fractional_positions": [[0.000, 0.000, 0.000], [0.500, 0.500, 0.500], [0.245, 0.245, 0.733], [0.755, 0.755, 0.267]]
}

x:
{
  "formula": "YZrSc2",
  "functional": "GGA-PBEsol",
  "state": "relaxed",
  "sg": "I4/mmm",
  "magmom_total_mub_per_fu": 0.0,
  "cell": [[-2.318, 2.318, 4.528], [2.318, -2.318, 4.528], [2.318, 2.318, -4.528]],
  "species": ["Y", "Zr", "Sc", "Sc"],
  "fractional_positions": [[0.000, 0.000, 0.000], [0.500, 0.500, 0.000], [0.250, 0.750, 0.500], [0.750, 0.250, 0.500]]
}

y:
{
  "formula": "YZrSc2",
  "functional": "GGA-PBEsol",
  "state": "relaxed",
  "sg": "Amm2",
  "magmom_total_mub_per_fu": 0.0,
  "cell": [[5.021, 0.000, 0.000], [0.000, 1.607, 6.074], [0.000, -1.607, 6.074]],
  "species": ["Y", "Zr", "Sc", "Sc"],
  "fractional_positions": [[0.000, 0.000, 0.000], [0.500, 0.344, 0.344], [0.000, 0.745, 0.745], [0.500, 0.617, 0.617]]
}

Stability order, top to bottom: y, x, w

w:
{
  "formula": "YZrSc2",
  "functional": "GGA-PBEsol",
  "state": "relaxed",
  "sg": "P4mm",
  "magmom_total_mub_per_fu": 0.0,
  "cell": [[3.254, 0.000, 0.000], [0.000, 3.254, 0.000], [0.000, 0.000, 9.286]],
  "species": ["Y", "Zr", "Sc", "Sc"],
  "fractional_positions": [[0.000, 0.000, 0.000], [0.500, 0.500, 0.256], [0.000, 0.000, 0.484], [0.500, 0.500, 0.733]]
}

x:
{
  "formula": "YZrSc2",
  "functional": "GGA-PBEsol",
  "state": "relaxed",
  "sg": "R-3m",
  "magmom_total_mub_per_fu": 0.0,
  "cell": [[1.632, 0.942, 10.633], [-1.632, 0.942, 10.633], [0.000, -1.884, 10.633]],
  "species": ["Y", "Zr", "Sc", "Sc"],
  "fractional_positions": [[0.000, 0.000, 0.000], [0.500, 0.500, 0.500], [0.245, 0.245, 0.245], [0.755, 0.755, 0.755]]
}

Stability order, top to bottom: x, w

w:
{
  "formula": "YZrSc2",
  "functional": "GGA-PBEsol",
  "state": "relaxed",
  "sg": "Cmmm",
  "magmom_total_mub_per_fu": 0.0,
  "cell": [[3.266, -4.577, 0.000], [3.266, 4.577, 0.000], [0.000, 0.000, 3.249]],
  "species": ["Y", "Zr", "Sc", "Sc"],
  "fractional_positions": [[0.000, 0.000, 0.000], [0.500, 0.500, 0.000], [0.000, 0.500, 0.500], [0.500, 0.000, 0.500]]
}

x:
{
  "formula": "YZrSc2",
  "functional": "GGA-PBEsol",
  "state": "relaxed",
  "sg": "Pmmm",
  "magmom_total_mub_per_fu": 0.0,
  "cell": [[3.301, 0.000, 0.000], [0.000, 4.398, 0.000], [0.000, 0.000, 6.757]],
  "species": ["Y", "Zr", "Sc", "Sc"],
  "fractional_positions": [[0.000, 0.000, 0.000], [0.000, 0.000, 0.500], [0.500, 0.500, 0.274], [0.500, 0.500, 0.726]]
}

y:
{
  "formula": "YZrSc2",
  "functional": "GGA-PBEsol",
  "state": "relaxed",
  "sg": "I-4m2",
  "magmom_total_mub_per_fu": 0.0,
  "cell": [[-2.304, 2.304, 4.583], [2.304, -2.304, 4.583], [2.304, 2.304, -4.583]],
  "species": ["Y", "Zr", "Sc", "Sc"],
  "fractional_positions": [[0.000, 0.000, 0.000], [0.250, 0.750, 0.500], [0.500, 0.500, 0.000], [0.750, 0.250, 0.500]]
}

Stability order, top to bottom: x, y, w

w:
{
  "formula": "Se",
  "functional": "GGA-PBEsol",
  "state": "relaxed",
  "sg": "Fm-3m",
  "magmom_total_mub_per_fu": 0.0,
  "cell": [[0.000, 2.126, 2.126], [2.126, 0.000, 2.126], [2.126, 2.126, 0.000]],
  "species": ["Se"],
  "fractional_positions": [[0.000, 0.000, 0.000]]
}

x:
{
  "formula": "Se",
  "functional": "GGA-PBEsol",
  "state": "relaxed",
  "sg": "P3_121",
  "magmom_total_mub_per_fu": 0.0,
  "cell": [[4.022, 0.000, 0.000], [-2.011, 3.483, 0.000], [0.000, 0.000, 5.135]],
  "species": ["Se", "Se", "Se"],
  "fractional_positions": [[0.000, 0.749, 0.167], [0.251, 0.251, 0.500], [0.749, 0.000, 0.833]]
}

y:
{
  "formula": "Se",
  "functional": "GGA-PBEsol",
  "state": "relaxed",
  "sg": "P4mm",
  "magmom_total_mub_per_fu": 0.0,
  "cell": [[9.429, 0.000, 0.000], [0.000, 9.429, 0.000], [0.000, 0.000, 4.403]],
  "species": ["Se", "Se", "Se", "Se", "Se", "Se", "Se", "Se"],
  "fractional_positions": [[0.000, 0.285, 0.000], [0.000, 0.715, 0.000], [0.201, 0.201, 0.745], [0.201, 0.799, 0.745], [0.285, 0.000, 0.000], [0.715, 0.000, 0.000], [0.799, 0.201, 0.745], [0.799, 0.799, 0.745]]
}

Stability order, top to bottom: x, y, w

w:
{
  "formula": "Se",
  "functional": "GGA-PBEsol",
  "state": "relaxed",
  "sg": "C2/m",
  "magmom_total_mub_per_fu": 0.0,
  "cell": [[3.593, -1.868, 0.000], [3.593, 1.868, 0.000], [-0.057, 0.000, 5.172]],
  "species": ["Se", "Se", "Se"],
  "fractional_positions": [[0.000, 0.000, 0.000], [0.381, 0.381, 0.332], [0.619, 0.619, 0.668]]
}

x:
{
  "formula": "Se",
  "functional": "GGA-PBEsol",
  "state": "relaxed",
  "sg": "I4/mmm",
  "magmom_total_mub_per_fu": 0.0,
  "cell": [[-1.300, 1.300, 3.686], [1.300, -1.300, 3.686], [1.300, 1.300, -3.686]],
  "species": ["Se"],
  "fractional_positions": [[0.000, 0.000, 0.000]]
}

y:
{
  "formula": "Se",
  "functional": "GGA-PBEsol",
  "state": "relaxed",
  "sg": "P6_3/mmc",
  "magmom_total_mub_per_fu": 0.0,
  "cell": [[3.562, 0.000, 0.000], [-1.781, 3.085, 0.000], [0.000, 0.000, 3.816]],
  "species": ["Se", "Se"],
  "fractional_positions": [[0.333, 0.667, 0.250], [0.667, 0.333, 0.750]]
}

z:
{
  "formula": "Se",
  "functional": "GGA-PBEsol",
  "state": "relaxed",
  "sg": "P2/m",
  "magmom_total_mub_per_fu": 0.0,
  "cell": [[3.724, 0.000, 0.000], [0.000, 2.729, 0.000], [-1.845, 0.000, 4.790]],
  "species": ["Se", "Se"],
  "fractional_positions": [[0.125, 0.000, 0.249], [0.875, 0.000, 0.751]]
}

Stability order, top to bottom: w, z, x, y

w:
{
  "formula": "Se",
  "functional": "GGA-PBEsol",
  "state": "relaxed",
  "sg": "R-3",
  "magmom_total_mub_per_fu": 0.0,
  "cell": [[5.341, 3.084, 1.515], [-5.341, 3.084, 1.515], [0.000, -6.167, 1.515]],
  "species": ["Se", "Se", "Se", "Se", "Se", "Se"],
  "fractional_positions": [[0.090, 0.831, 0.695], [0.169, 0.305, 0.910], [0.305, 0.910, 0.169], [0.695, 0.090, 0.831], [0.831, 0.695, 0.090], [0.910, 0.169, 0.305]]
}

x:
{
  "formula": "Se",
  "functional": "GGA-PBEsol",
  "state": "relaxed",
  "sg": "P2_1/c",
  "magmom_total_mub_per_fu": 0.0,
  "cell": [[8.874, 0.000, 0.000], [0.000, 8.874, 0.000], [-8.575, 0.000, 11.460]],
  "species": ["Se", "Se", "Se", "Se", "Se", "Se", "Se", "Se", "Se", "Se", "Se", "Se", "Se", "Se", "Se", "Se", "Se", "Se", "Se", "Se", "Se", "Se", "Se", "Se", "Se", "Se", "Se", "Se", "Se", "Se", "Se", "Se"],
  "fractional_positions": [[0.007, 0.111, 0.373], [0.007, 0.389, 0.873], [0.077, 0.153, 0.138], [0.077, 0.347, 0.638], [0.103, 0.518, 0.773], [0.103, 0.982, 0.273], [0.220, 0.631, 0.545], [0.220, 0.869, 0.045], [0.302, 0.517, 0.220], [0.302, 0.983, 0.720], [0.387, 0.185, 0.978], [0.387, 0.315, 0.478], [0.426, 0.681, 0.061], [0.426, 0.819, 0.561], [0.492, 0.729, 0.327], [0.492, 0.771, 0.827], [0.508, 0.229, 0.173], [0.508, 0.271, 0.673], [0.574, 0.181, 0.439], [0.574, 0.319, 0.939], [0.613, 0.685, 0.522], [0.613, 0.815, 0.022], [0.698, 0.017, 0.280], [0.698, 0.483, 0.780], [0.780, 0.131, 0.955], [0.780, 0.369, 0.455], [0.897, 0.018, 0.727], [0.897, 0.482, 0.227], [0.923, 0.653, 0.362], [0.923, 0.847, 0.862], [0.993, 0.611, 0.127], [0.993, 0.889, 0.627]]
}

Stability order, top to bottom: w, x

w:
{
  "formula": "TaSi3Se",
  "functional": "GGA-PBEsol",
  "state": "relaxed",
  "sg": "Pm-3m",
  "magmom_total_mub_per_fu": 0.0,
  "cell": [[4.581, 0.000, 0.000], [0.000, 4.581, 0.000], [0.000, 0.000, 4.581]],
  "species": ["Ta", "Si", "Si", "Si", "Se"],
  "fractional_positions": [[0.000, 0.000, 0.000], [0.000, 0.500, 0.500], [0.500, 0.000, 0.500], [0.500, 0.500, 0.000], [0.500, 0.500, 0.500]]
}

x:
{
  "formula": "TaSi3Se",
  "functional": "GGA-PBEsol",
  "state": "relaxed",
  "sg": "Pm-3m",
  "magmom_total_mub_per_fu": 0.0,
  "cell": [[4.873, 0.000, 0.000], [0.000, 4.873, 0.000], [0.000, 0.000, 4.873]],
  "species": ["Ta", "Si", "Si", "Si", "Se"],
  "fractional_positions": [[0.000, 0.000, 0.000], [0.000, 0.000, 0.500], [0.000, 0.500, 0.000], [0.500, 0.000, 0.000], [0.500, 0.500, 0.500]]
}

Stability order, top to bottom: x, w

w:
{
  "formula": "Ta2SiSe",
  "functional": "GGA-PBEsol",
  "state": "relaxed",
  "sg": "Cm",
  "magmom_total_mub_per_fu": 0.0,
  "cell": [[4.583, -1.599, 0.000], [4.583, 1.599, 0.000], [-1.107, 0.000, 4.406]],
  "species": ["Ta", "Ta", "Si", "Se"],
  "fractional_positions": [[0.000, 0.000, 0.000], [0.225, 0.225, 0.622], [0.495, 0.495, 0.504], [0.736, 0.736, 0.131]]
}

x:
{
  "formula": "Ta2SiSe",
  "functional": "GGA-PBEsol",
  "state": "relaxed",
  "sg": "I-4m2",
  "magmom_total_mub_per_fu": 0.0,
  "cell": [[-1.942, 1.942, 4.325], [1.942, -1.942, 4.325], [1.942, 1.942, -4.325]],
  "species": ["Ta", "Ta", "Si", "Se"],
  "fractional_positions": [[0.000, 0.000, 0.000], [0.750, 0.250, 0.500], [0.250, 0.750, 0.500], [0.500, 0.500, 0.000]]
}

Stability order, top to bottom: w, x

w:
{
  "formula": "SiTcSe",
  "functional": "GGA-PBEsol",
  "state": "relaxed",
  "sg": "P-6m2",
  "magmom_total_mub_per_fu": 0.0,
  "cell": [[4.227, 0.000, 0.000], [-2.113, 3.661, 0.000], [0.000, 0.000, 2.942]],
  "species": ["Si", "Tc", "Se"],
  "fractional_positions": [[0.000, 0.000, 0.000], [0.333, 0.667, 0.500], [0.667, 0.333, 0.500]]
}

x:
{
  "formula": "SiTcSe",
  "functional": "GGA-PBEsol",
  "state": "relaxed",
  "sg": "F-43m",
  "magmom_total_mub_per_fu": 0.0,
  "cell": [[0.000, 2.928, 2.928], [2.928, 0.000, 2.928], [2.928, 2.928, 0.000]],
  "species": ["Si", "Tc", "Se"],
  "fractional_positions": [[0.000, 0.000, 0.000], [0.750, 0.750, 0.750], [0.250, 0.250, 0.250]]
}

Stability order, top to bottom: w, x

w:
{
  "formula": "SiTc2Se",
  "functional": "GGA-PBEsol",
  "state": "relaxed",
  "sg": "Pmm2",
  "magmom_total_mub_per_fu": 0.0,
  "cell": [[2.966, 0.000, 0.000], [0.000, 4.462, 0.000], [0.000, 0.000, 4.250]],
  "species": ["Si", "Tc", "Tc", "Se"],
  "fractional_positions": [[0.000, 0.000, 0.000], [0.000, 0.500, 0.728], [0.500, 0.000, 0.513], [0.500, 0.500, 0.230]]
}

x:
{
  "formula": "SiTc2Se",
  "functional": "GGA-PBEsol",
  "state": "relaxed",
  "sg": "I-42d",
  "magmom_total_mub_per_fu": 0.0,
  "cell": [[-2.705, 2.705, 5.365], [2.705, -2.705, 5.365], [2.705, 2.705, -5.365]],
  "species": ["Si", "Si", "Tc", "Tc", "Tc", "Tc", "Se", "Se"],
  "fractional_positions": [[0.000, 0.000, 0.000], [0.750, 0.250, 0.500], [0.121, 0.625, 0.996], [0.375, 0.371, 0.496], [0.629, 0.125, 0.004], [0.875, 0.879, 0.504], [0.250, 0.750, 0.500], [0.500, 0.500, 0.000]]
}

y:
{
  "formula": "SiTc2Se",
  "functional": "GGA-PBEsol",
  "state": "relaxed",
  "sg": "C2/m",
  "magmom_total_mub_per_fu": 0.0,
  "cell": [[3.993, -1.458, 0.000], [3.993, 1.458, 0.000], [-1.147, 0.000, 4.875]],
  "species": ["Si", "Tc", "Tc", "Se"],
  "fractional_positions": [[0.000, 0.000, 0.000], [0.264, 0.264, 0.748], [0.736, 0.736, 0.252], [0.500, 0.500, 0.500]]
}

Stability order, top to bottom: w, y, x